A geometry-optimized NiPb2W structure, computed with GGA-PBE.

## Properties
M_tot: 0.5 μB per formula unit
energy relative to the lowest polymorph listed for this composition: 540 meV/atom

a b c (Å): 5.6368 5.6368 5.6368
angles (deg): 138.25 138.25 60.52
Site moments in Bohr magnetons follow the coordinates.
Atoms (fractional coordinates):
Ni (0.7500, 0.2500, 0.5000)  0.05
Pb (0.0000, 0.0000, 0.0000)  0.00
Pb (0.2500, 0.7500, 0.5000)  -0.01
W (0.5000, 0.5000, 0.0000)  0.43

A geometry-optimized Pm12NdGe4 structure, computed with GGA-PBE.

## Properties
M_tot: 0.0 μB per formula unit
E_tot: -81.91 eV per cell

a b c (Å): 9.1530 9.1530 9.1530
angles (deg): 109.47 109.47 109.47
Atoms (fractional coordinates):
Pm (0.8318, 0.3274, 0.1592)
Pm (0.3274, 0.4956, 0.1682)
Pm (0.8408, 0.1682, 0.6726)
Pm (0.3274, 0.1592, 0.8318)
Pm (0.1592, 0.8318, 0.3274)
Pm (0.6726, 0.5044, 0.8318)
Pm (0.4956, 0.1682, 0.3274)
Pm (0.5044, 0.8318, 0.6726)
Pm (0.6726, 0.8408, 0.1682)
Pm (0.8318, 0.6726, 0.5044)
Pm (0.1682, 0.3274, 0.4956)
Pm (0.1682, 0.6726, 0.8408)
Nd (0.0000, 0.0000, 0.0000)
Ge (0.0000, 0.5000, 0.0000)
Ge (0.5000, 0.0000, 0.0000)
Ge (0.5000, 0.5000, 0.5000)
Ge (0.0000, 0.0000, 0.5000)

A geometry-optimized Al2RuAu structure, computed with GGA-PBE.

## Properties
M_tot: 0.0 μB per formula unit
E_tot: -22.05 eV per cell

a b c (Å): 6.6180 4.3741 3.1059
angles (deg): 90.03 61.96 126.13
Atoms (fractional coordinates):
Ru (0.5000, 0.5000, 0.0000)
Au (0.0000, 0.5000, 0.5000)
Al (0.0000, 0.0000, 0.0000)
Al (0.5000, 0.0000, 0.5000)

A geometry-optimized Tb2Th2Se7 structure, computed with GGA-PBE.

## Properties
M_tot: 0.0 μB per formula unit
formation energy without anion corrections: -1.786 eV/atom

a b c (Å): 4.2018 8.9083 8.9083
angles (deg): 61.70 76.36 76.36
Atoms (fractional coordinates):
Tb (0.0000, 0.7900, 0.2100)
Tb (0.5000, 0.3297, 0.6703)
Th (0.7373, 0.8472, 0.6783)
Th (0.2627, 0.3217, 0.1528)
Se (0.8165, 0.0691, 0.2979)
Se (0.8612, 0.4243, 0.8532)
Se (0.5000, 0.0129, 0.9871)
Se (0.6106, 0.4944, 0.2843)
Se (0.3894, 0.7157, 0.5056)
Se (0.1835, 0.7021, 0.9309)
Se (0.1388, 0.1468, 0.5757)

A geometry-optimized La2YMgFe structure, computed with GGA-PBE.

## Properties
M_tot: 0.0 μB per formula unit
E_tot: -26.30 eV per cell

a b c (Å): 5.2240 5.2240 5.4724
angles (deg): 90.00 90.00 90.00
Atoms (fractional coordinates):
Y (0.0000, 0.0000, 0.5000)
Mg (0.5000, 0.5000, 0.5000)
Fe (0.0000, 0.0000, 0.0000)
La (0.0000, 0.5000, 0.0000)
La (0.5000, 0.0000, 0.0000)

A geometry-optimized ZrBeHg2 structure, computed with GGA-PBE.

## Properties
M_tot: 0.0 μB per formula unit
E_tot: -12.01 eV per cell

a b c (Å): 5.1500 5.1500 5.1500
angles (deg): 130.79 130.79 72.14
Atoms (fractional coordinates):
Be (0.7500, 0.2500, 0.5000)
Hg (0.0000, 0.0000, 0.0000)
Hg (0.5000, 0.5000, 0.0000)
Zr (0.2500, 0.7500, 0.5000)

A geometry-optimized InMo2N structure, computed with GGA-PBE.

## Properties
M_tot: 0.0 μB per formula unit
formation energy without anion corrections: 0.224 eV/atom
energy relative to the lowest polymorph listed for this composition: 0 meV/atom

a b c (Å): 3.1462 3.1462 7.8631
angles (deg): 78.46 78.46 60.00
Atoms (fractional coordinates):
Mo (0.1197, 0.1197, 0.6409)
Mo (0.8803, 0.8803, 0.3591)
N (0.5000, 0.5000, 0.5000)
In (0.0000, 0.0000, 0.0000)

A geometry-optimized Zn2ReSi structure, computed with GGA-PBE.

## Properties
M_tot: 0.9 μB per formula unit
formation energy without anion corrections: 0.573 eV/atom

a b c (Å): 7.1660 7.1660 5.6201
angles (deg): 50.39 50.39 90.00
Site moments in Bohr magnetons follow the coordinates.
Atoms (fractional coordinates):
Re (0.0000, 0.0000, 0.0000)  0.77
Re (0.7500, 0.2500, 0.5000)  0.77
Zn (0.6123, 0.1250, 0.2500)  0.01
Zn (0.1377, 0.6250, 0.2500)  0.01
Zn (0.3750, 0.3877, 0.7500)  0.01
Zn (0.8750, 0.8623, 0.7500)  0.01
Si (0.5000, 0.5000, 0.0000)  0.02
Si (0.2500, 0.7500, 0.5000)  0.02